Record 1
The following is a DFT calculation (PBE-GGA) of a relaxed TbSm12Al4N3 crystal.

Geometry as POSCAR:
```
TbSm12Al4N3
1.0
-5.037 5.037 5.037
5.037 -5.037 5.037
5.037 5.037 -5.037
Tb Sm Al N
1 12 4 3
Cartesian
0.000 0.000 0.000
2.763 0.000 0.000
7.312 0.000 0.000
5.037 2.519 0.000
5.037 0.000 2.519
0.000 2.763 0.000
0.000 0.000 2.763
2.519 5.037 0.000
2.519 0.000 5.037
0.000 7.312 0.000
0.000 0.000 7.312
0.000 5.037 2.519
0.000 2.519 5.037
2.519 2.519 -2.519
2.519 -2.519 2.519
-2.519 2.519 2.519
2.519 2.519 2.519
5.037 0.000 0.000
0.000 5.037 0.000
0.000 0.000 5.037
```

* SG: Im-3m (229)
* E_form (uncorrected): -6.8 eV/f.u.
* total energy: -5.3998 eV/atom

***

Record 2
The following is a DFT calculation (PBE-GGA) of a relaxed Sm2TmAlN crystal.

Geometry as POSCAR:
```
Sm2TmAlN
1.0
4.926 0.000 0.000
0.000 4.926 0.000
0.000 0.000 4.682
Sm Tm Al N
2 1 1 1
Cartesian
0.000 2.463 0.000
2.463 0.000 0.000
0.000 0.000 2.341
2.463 2.463 2.341
0.000 0.000 0.000
```

* SG: P4/mmm (123)
* E_form (uncorrected): -4.3 eV/f.u.
* total energy: -6.0503 eV/atom

***

Record 3
The following is a DFT calculation (PBE-GGA) of a relaxed AlSnN2 crystal.

Geometry as POSCAR:
```
AlSnN2
1.0
1.666 0.962 5.875
-1.666 0.962 5.875
0.000 -1.924 5.875
Al Sn N
1 1 2
Cartesian
0.000 0.000 0.000
0.000 0.000 8.813
0.000 0.000 1.827
0.000 0.000 15.799
```

* SG: R-3m (166)
* E_form (uncorrected): 0.5 eV/f.u.
* total energy: -5.9843 eV/atom

***

Record 4
The following is a DFT calculation (PBE-GGA) of a relaxed AlSnN3 crystal.

Geometry as POSCAR:
```
AlSnN3
1.0
4.073 0.000 0.000
0.000 4.073 0.000
0.000 0.000 4.073
Al Sn N
1 1 3
Cartesian
0.000 0.000 0.000
2.036 2.036 2.036
0.000 2.036 2.036
2.036 0.000 2.036
2.036 2.036 0.000
```

* SG: Pm-3m (221)
* E_form (uncorrected): 8.3 eV/f.u.
* total energy: -4.8790 eV/atom

***

Record 5
The following is a DFT calculation (PBE-GGA) of a relaxed AlSnN2 crystal.

Geometry as POSCAR:
```
AlSnN2
1.0
-2.419 2.419 4.703
2.419 -2.419 4.703
2.419 2.419 -4.703
Al Sn N
2 2 4
Cartesian
0.000 0.000 0.000
0.000 2.419 2.351
2.419 0.000 2.351
0.000 0.000 4.703
3.629 0.930 -1.176
0.930 1.210 1.176
-1.210 1.490 3.527
1.490 1.210 5.878
```

* SG: I-42d (122)
* E_form (uncorrected): -1.2 eV/f.u.
* total energy: -6.4026 eV/atom

***

Record 6
The following is a DFT calculation (PBE-GGA) of a relaxed AlSnN2 crystal.

Geometry as POSCAR:
```
AlSnN2
1.0
1.563 0.902 6.026
-1.563 0.902 6.026
0.000 -1.805 6.026
Al Sn N
1 1 2
Cartesian
0.000 0.000 0.000
0.000 0.000 9.039
0.000 0.000 6.996
0.000 0.000 11.082
```

* SG: R-3m (166)
* E_form (uncorrected): -0.1 eV/f.u.
* total energy: -6.1322 eV/atom

***

Record 7
The following is a DFT calculation (PBE-GGA) of a relaxed AlSnN3 crystal.

Geometry as POSCAR:
```
AlSnN3
1.0
3.815 0.000 0.000
0.000 3.815 0.000
0.000 0.000 3.815
Al Sn N
1 1 3
Cartesian
0.000 0.000 0.000
1.908 1.908 1.908
0.000 0.000 1.908
0.000 1.908 0.000
1.908 0.000 0.000
```

* SG: Pm-3m (221)
* E_form (uncorrected): 4.2 eV/f.u.
* total energy: -5.7023 eV/atom

***

Record 8
The following is a DFT calculation (PBE-GGA) of a relaxed AlSnN2 crystal.

Geometry as POSCAR:
```
AlSnN2
1.0
0.000 2.841 2.841
2.841 0.000 2.841
2.841 2.841 0.000
Al Sn N
1 1 2
Cartesian
0.000 0.000 0.000
2.841 2.841 2.841
1.421 1.421 1.421
4.262 4.262 4.262
```

* SG: Fm-3m (225)
* E_form (uncorrected): 3.8 eV/f.u.
* total energy: -5.1369 eV/atom

***

Record 9
The following is a DFT calculation (PBE-GGA) of a relaxed AlSnTe2N crystal.

Geometry as POSCAR:
```
AlSnTe2N
1.0
5.854 0.000 0.000
0.000 5.854 0.000
0.000 0.000 3.494
Al Sn Te N
1 1 2 1
Cartesian
0.000 0.000 0.000
2.927 2.927 1.747
0.000 2.927 0.000
2.927 0.000 0.000
0.000 0.000 1.747
```

* SG: P4/mmm (123)
* E_form (uncorrected): 0.6 eV/f.u.
* E above lowest polymorph: 0 meV per atom
* total energy: -4.3409 eV/atom

***

Record 10
The following is a DFT calculation (PBE-GGA) of a relaxed AlSnTe2N crystal.

Geometry as POSCAR:
```
AlSnTe2N
1.0
5.942 0.000 0.000
0.000 5.942 0.000
0.000 0.000 3.885
Al Sn Te N
1 1 2 1
Cartesian
0.000 0.000 0.000
2.971 2.971 1.943
0.000 2.971 1.943
2.971 0.000 1.943
2.971 2.971 0.000
```

* SG: P4/mmm (123)
* E_form (uncorrected): 4.0 eV/f.u.
* E above lowest polymorph: 667 meV per atom
* total energy: -3.6740 eV/atom

***

Record 11
The following is a DFT calculation (PBE-GGA) of a relaxed Sr2Al4N crystal.

Geometry as POSCAR:
```
Sr2Al4N
1.0
-2.257 2.257 8.139
2.257 -2.257 8.139
2.257 2.257 -8.139
Sr Al N
2 4 1
Cartesian
0.000 0.000 2.738
0.000 0.000 13.541
2.257 0.000 0.000
0.000 0.000 6.264
0.000 2.257 0.000
0.000 0.000 10.014
0.000 0.000 8.139
```

* SG: I4/mmm (139)
* E_form (uncorrected): -0.6 eV/f.u.
* total energy: -3.9008 eV/atom

***

Record 12
The following is a DFT calculation (PBE-GGA) of a relaxed Sr3Al2N4 crystal.

Geometry as POSCAR:
```
Sr3Al2N4
1.0
5.614 -4.343 0.000
5.614 4.343 0.000
-0.348 0.000 5.753
Sr Al N
6 4 8
Cartesian
5.353 3.455 4.315
4.100 1.198 2.517
6.955 1.198 0.359
3.926 -1.198 5.394
6.781 -1.198 3.236
5.527 -3.455 1.438
2.014 1.028 5.315
2.188 -1.028 2.438
8.693 1.028 3.315
8.867 -1.028 0.438
1.725 0.550 3.467
3.835 1.647 5.652
1.899 -0.550 0.591
6.872 1.647 2.978
4.009 -1.647 2.775
8.982 0.550 5.162
7.046 -1.647 0.101
9.156 -0.550 2.286
```

* SG: C2/c (15)
* E_form (uncorrected): -8.6 eV/f.u.
* total energy: -6.0525 eV/atom

***

Record 13
The following is a DFT calculation (PBE-GGA) of a relaxed SrAl2N crystal.

Geometry as POSCAR:
```
SrAl2N
1.0
-3.153 3.153 4.365
3.153 -3.153 4.365
3.153 3.153 -4.365
Sr Al N
2 4 2
Cartesian
0.000 0.000 0.000
0.000 3.153 2.183
1.577 2.787 -1.091
3.519 1.577 1.091
1.577 0.366 3.274
-0.366 1.577 5.457
3.153 0.000 2.183
0.000 0.000 4.365
```

* SG: I-42d (122)
* E_form (uncorrected): -0.3 eV/f.u.
* total energy: -4.4432 eV/atom

***

Record 14
The following is a DFT calculation (PBE-GGA) of a relaxed SrAl3N crystal.

Geometry as POSCAR:
```
SrAl3N
1.0
4.553 0.000 0.000
0.000 4.553 0.000
0.000 0.000 4.553
Sr Al N
1 3 1
Cartesian
0.000 0.000 0.000
0.000 2.277 2.277
2.277 0.000 2.277
2.277 2.277 0.000
2.277 2.277 2.277
```

* SG: Pm-3m (221)
* E_form (uncorrected): 1.6 eV/f.u.
* E above lowest polymorph: 0 meV per atom
* total energy: -3.9183 eV/atom

***

Record 15
The following is a DFT calculation (PBE-GGA) of a relaxed SrAl3N crystal.

Geometry as POSCAR:
```
SrAl3N
1.0
5.895 0.000 0.000
0.000 5.895 0.000
0.000 0.000 5.895
Sr Al N
1 3 1
Cartesian
0.000 0.000 0.000
0.000 0.000 2.947
0.000 2.947 0.000
2.947 0.000 0.000
2.947 2.947 2.947
```

* SG: Pm-3m (221)
* E_form (uncorrected): 12.5 eV/f.u.
* E above lowest polymorph: 2164 meV per atom
* total energy: -1.7547 eV/atom

***

Record 16
The following is a DFT calculation (PBE-GGA) of a relaxed Sr3Al2N4 crystal.

Geometry as POSCAR:
```
Sr3Al2N4
1.0
6.020 -1.778 0.000
6.020 1.778 0.000
-5.471 0.000 6.920
Sr Al N
3 2 4
Cartesian
0.000 0.000 0.000
3.371 0.000 1.542
3.197 0.000 5.378
-0.041 0.000 4.421
6.609 0.000 2.499
-0.497 0.000 2.567
-1.131 0.000 5.944
7.700 0.000 0.977
7.066 0.000 4.353
```

* SG: C2/m (12)
* E_form (uncorrected): -8.2 eV/f.u.
* total energy: -6.0040 eV/atom

***

Record 17
The following is a DFT calculation (PBE-GGA) of a relaxed SrAlTeN2 crystal.

Geometry as POSCAR:
```
SrAlTeN2
1.0
4.253 0.000 0.000
0.000 4.253 0.000
0.000 0.000 5.512
Sr Al Te N
1 1 1 2
Cartesian
0.000 0.000 0.000
2.126 2.126 2.756
2.126 2.126 0.000
0.000 2.126 2.756
2.126 0.000 2.756
```

* SG: P4/mmm (123)
* E_form (uncorrected): 1.4 eV/f.u.
* E above lowest polymorph: 0 meV per atom
* total energy: -4.7558 eV/atom

***

Record 18
The following is a DFT calculation (PBE-GGA) of a relaxed SrAlTeN2 crystal.

Geometry as POSCAR:
```
SrAlTeN2
1.0
4.817 0.000 0.000
0.000 4.817 0.000
0.000 0.000 6.750
Sr Al Te N
1 1 1 2
Cartesian
0.000 0.000 0.000
2.408 2.408 3.375
0.000 0.000 3.375
0.000 2.408 0.000
2.408 0.000 0.000
```

* SG: P4/mmm (123)
* E_form (uncorrected): 6.7 eV/f.u.
* E above lowest polymorph: 1052 meV per atom
* total energy: -3.7040 eV/atom

***

Record 19
The following is a DFT calculation (PBE-GGA) of a relaxed SrY2AlN crystal.

Geometry as POSCAR:
```
SrY2AlN
1.0
4.843 0.000 0.000
0.000 4.843 0.000
0.000 0.000 5.115
Sr Y Al N
1 2 1 1
Cartesian
0.000 0.000 0.000
0.000 2.421 2.558
2.421 0.000 2.558
2.421 2.421 0.000
0.000 0.000 2.558
```

* SG: P4/mmm (123)
* E_form (uncorrected): -3.4 eV/f.u.
* total energy: -6.0197 eV/atom

***

Record 20
The following is a DFT calculation (PBE-GGA) of a relaxed Sr2ZrAlN crystal.

Geometry as POSCAR:
```
Sr2ZrAlN
1.0
5.836 0.000 0.000
0.000 5.836 0.000
0.000 0.000 5.150
Sr Zr Al N
2 1 1 1
Cartesian
0.000 2.918 0.000
2.918 0.000 0.000
0.000 0.000 2.575
0.000 0.000 0.000
2.918 2.918 2.575
```

* SG: P4/mmm (123)
* E_form (uncorrected): 6.7 eV/f.u.
* total energy: -3.4470 eV/atom

***

Record 21
The following is a DFT calculation (PBE-GGA) of a relaxed TaAl2N2 crystal.

Geometry as POSCAR:
```
TaAl2N2
1.0
6.785 0.000 0.000
0.000 6.785 0.000
0.000 0.000 2.893
Ta Al N
2 4 4
Cartesian
0.000 0.000 0.000
3.392 3.392 0.000
0.845 2.548 0.000
2.548 5.940 0.000
4.237 0.845 0.000
5.940 4.237 0.000
1.684 1.709 1.447
1.709 5.101 1.447
5.076 1.684 1.447
5.101 5.076 1.447
```

* SG: P4/mbm (127)
* E_form (uncorrected): 3.3 eV/f.u.
* E above lowest polymorph: 533 meV per atom
* total energy: -6.5421 eV/atom

***

Record 22
The following is a DFT calculation (PBE-GGA) of a relaxed TaAl3N crystal.

Geometry as POSCAR:
```
TaAl3N
1.0
5.137 0.000 0.000
0.000 5.137 0.000
0.000 0.000 5.137
Ta Al N
1 3 1
Cartesian
0.000 0.000 0.000
0.000 0.000 2.568
0.000 2.568 0.000
2.568 0.000 0.000
2.568 2.568 2.568
```

* SG: Pm-3m (221)
* E_form (uncorrected): 9.6 eV/f.u.
* E above lowest polymorph: 1874 meV per atom
* total energy: -4.3527 eV/atom

***

Record 23
The following is a DFT calculation (PBE-GGA) of a relaxed TaAl2N2 crystal.

Geometry as POSCAR:
```
TaAl2N2
1.0
-1.860 1.860 4.034
1.860 -1.860 4.034
1.860 1.860 -4.034
Ta Al N
1 2 2
Cartesian
0.000 0.000 0.000
0.000 0.000 2.757
0.000 0.000 5.311
1.860 0.000 2.017
0.000 1.860 2.017
```

* SG: I4/mmm (139)
* E_form (uncorrected): 0.6 eV/f.u.
* E above lowest polymorph: 0 meV per atom
* total energy: -7.0750 eV/atom

***

Record 24
The following is a DFT calculation (PBE-GGA) of a relaxed TaAlN2 crystal.

Geometry as POSCAR:
```
TaAlN2
1.0
-2.328 2.328 4.464
2.328 -2.328 4.464
2.328 2.328 -4.464
Ta Al N
2 2 4
Cartesian
0.000 0.000 0.000
0.000 2.328 2.232
2.328 0.000 2.232
0.000 0.000 4.464
1.164 -1.026 3.348
1.303 1.164 1.116
1.164 3.354 -1.116
1.026 1.164 5.580
```

* SG: I-42d (122)
* E_form (uncorrected): -3.2 eV/f.u.
* total energy: -8.8548 eV/atom

***

Record 25
The following is a DFT calculation (PBE-GGA) of a relaxed Ta2AlN crystal.

Geometry as POSCAR:
```
Ta2AlN
1.0
-2.654 2.654 5.336
2.654 -2.654 5.336
2.654 2.654 -5.336
Ta Al N
4 2 2
Cartesian
3.980 0.700 -1.334
0.700 1.327 1.334
-1.327 1.954 4.002
1.954 1.327 6.670
2.654 0.000 2.668
0.000 0.000 5.336
0.000 0.000 0.000
0.000 2.654 2.668
```

* SG: I-42d (122)
* E_form (uncorrected): 0.8 eV/f.u.
* total energy: -8.7527 eV/atom

***

Record 26
The following is a DFT calculation (PBE-GGA) of a relaxed Ta3AlN crystal.

Geometry as POSCAR:
```
Ta3AlN
1.0
4.249 0.000 0.000
0.000 4.249 0.000
0.000 0.000 4.249
Ta Al N
3 1 1
Cartesian
0.000 0.000 2.124
0.000 2.124 0.000
2.124 0.000 0.000
2.124 2.124 2.124
0.000 0.000 0.000
```

* SG: Pm-3m (221)
* E_form (uncorrected): -2.0 eV/f.u.
* total energy: -9.9229 eV/atom